A plane-wave DFT calculation with PBE was carried out for an optimized crystal structure of La2CdBr.

Crystal system   tetragonal
Space group   No. 99
Total DFT energy (no corrections)   -3.6390 eV per atom
Relative energy among the computed polymorphs   0.232 eV per atom
Uncorrected formation energy   -0.528 eV per atom

Lattice parameters (Å, degrees): 3.773 3.773 10.023 90.00 90.00 90.00
Sites, in units of the cell vectors:
La 0.000 0.000 0.000
La 0.500 0.500 0.288
Cd 0.500 0.500 0.797
Br 0.000 0.000 0.461

=====

A plane-wave DFT calculation with PBE was carried out for an optimized crystal structure of LaCdBr2.

Crystal system   cubic
Space group   No. 225
Total DFT energy (no corrections)   -3.2571 eV per atom
Relative energy among the computed polymorphs   0.240 eV per atom
Uncorrected formation energy   -0.960 eV per atom

Lattice parameters (Å, degrees): 5.421 5.421 5.421 60.00 60.00 60.00
Sites, in units of the cell vectors:
La 0.000 0.000 0.000
Cd 0.500 0.500 0.500
Br 0.250 0.250 0.250
Br 0.750 0.750 0.750

=====

A plane-wave DFT calculation with PBE was carried out for an optimized crystal structure of La6Cd5Br.

Crystal system   orthorhombic
Space group   No. 71
Total DFT energy (no corrections)   -3.4122 eV per atom
Uncorrected formation energy   -0.428 eV per atom

Lattice parameters (Å, degrees): 9.515 9.515 9.515 146.77 129.77 61.57
Sites, in units of the cell vectors:
La 0.084 0.338 0.745
La 0.245 0.000 0.245
La 0.407 0.662 0.745
La 0.593 0.338 0.255
La 0.755 0.000 0.755
La 0.916 0.662 0.255
Cd 0.181 0.181 0.000
Cd 0.331 0.831 0.500
Cd 0.500 0.500 0.000
Cd 0.669 0.169 0.500
Cd 0.819 0.819 0.000
Br 0.000 0.500 0.500

=====

A plane-wave DFT calculation with PBE was carried out for an optimized crystal structure of LaCdBr2.

Crystal system   trigonal
Space group   No. 166
Total DFT energy (no corrections)   -3.4543 eV per atom
Relative energy among the computed polymorphs   0.042 eV per atom
Uncorrected formation energy   -1.157 eV per atom

Lattice parameters (Å, degrees): 12.134 12.134 12.134 19.24 19.24 19.24
Sites, in units of the cell vectors:
La 0.000 0.000 0.000
Cd 0.500 0.500 0.500
Br 0.388 0.388 0.388
Br 0.612 0.612 0.612

=====

A plane-wave DFT calculation with PBE was carried out for an optimized crystal structure of LaCdBr2.

Crystal system   tetragonal
Space group   No. 139
Total DFT energy (no corrections)   -3.3003 eV per atom
Relative energy among the computed polymorphs   0.196 eV per atom
Uncorrected formation energy   -1.003 eV per atom

Lattice parameters (Å, degrees): 5.714 5.714 5.714 128.50 128.50 75.82
Sites, in units of the cell vectors:
La 0.000 0.000 0.000
Cd 0.500 0.500 0.000
Br 0.250 0.750 0.500
Br 0.750 0.250 0.500

=====

A plane-wave DFT calculation with PBE was carried out for an optimized crystal structure of LaCdBr.

Crystal system   monoclinic
Space group   No. 12
Total DFT energy (no corrections)   -3.4911 eV per atom
Relative energy among the computed polymorphs   0.000 eV per atom
Uncorrected formation energy   -0.986 eV per atom

Lattice parameters (Å, degrees): 4.687 4.687 11.085 91.92 91.92 60.07
Sites, in units of the cell vectors:
La 0.010 0.010 0.195
La 0.990 0.990 0.805
Cd 0.334 0.334 0.018
Cd 0.666 0.666 0.982
Br 0.316 0.316 0.657
Br 0.684 0.684 0.343